Entry 1:
A relaxed structure of Ti8Co2Re, computed with PBE-GGA.

Cell: 6.984 11.726 4.563 Å, 90.00 109.48 90.00°
Space group C2/m (No. 12)
Unique sites:
Ti  0.000  0.225  0.000 x4
Ti  0.119  0.500  0.820 x4
Ti  0.204  0.118  0.583 x8
Co  0.000  0.303  0.500 x4
Re  0.000  0.000  0.000 x2

- ΔH_f (0 K): -0.086 eV/atom
- Fermi-level density of states: 30.666 states/eV/cell



Entry 2:
A relaxed structure of NiSn2Bi, computed with PBE-GGA.

Cell: 3.313 3.313 8.429 Å, 90.00 90.00 90.00°
Space group P4/mmm (No. 123)
Unique sites:
Ni  0.000  0.000  0.000 x1
Sn  0.500  0.500  0.186 x2
Bi  0.000  0.000  0.500 x1

- ΔH_f (0 K): 0.050 eV/atom
- Fermi-level density of states: 2.420 states/eV/cell



Entry 3:
A relaxed structure of Sr3EuCl, computed with PBE-GGA.

Cell: 6.125 6.125 6.125 Å, 90.00 90.00 90.00°
Space group Pm-3m (No. 221)
Unique sites:
Sr  0.000  0.000  0.500 x3
Eu  0.500  0.500  0.500 x1
Cl  0.000  0.000  0.000 x1

- Uncorrected formation energy: -0.562 eV/atom
- Fermi-level density of states: 17.048 states/eV/cell



Entry 4:
A relaxed structure of Li4Ac3Tl4, computed with PBE-GGA.

Cell: 5.015 7.875 15.701 Å, 90.00 90.00 90.00°
Space group Immm (No. 71)
Unique sites:
Li  0.000  0.185  0.174 x8
Ac  0.000  0.000  0.374 x4
Ac  0.000  0.500  0.500 x2
Tl  0.000  0.299  0.000 x4
Tl  0.000  0.500  0.281 x4

- ΔH_f (0 K): -0.278 eV/atom
- Fermi-level density of states: 27.026 states/eV/cell



Entry 5:
A relaxed structure of La7Dy2Sc2, computed with PBE-GGA.

Cell: 8.490 10.959 8.328 Å, 90.00 102.46 90.00°
Space group C2/m (No. 12)
Unique sites:
La  0.000  0.000  0.000 x2
La  0.203  0.000  0.483 x4
La  0.206  0.281  0.182 x8
Dy  0.074  0.500  0.818 x4
Sc  0.000  0.291  0.500 x4

- Polymorph energy (0 for the lowest one): 0 meV/atom
- ΔH_f (0 K): 0.125 eV/atom
- Fermi-level density of states: 35.578 states/eV/cell



Entry 6:
A relaxed structure of Ca2TcOs, computed with PBE-GGA.

Cell: 6.946 6.946 6.946 Å, 90.00 90.00 90.00°
Space group Fm-3m (No. 225)
Unique sites:
Ca  0.250  0.250  0.250 x8
Tc  0.000  0.000  0.000 x4
Os  0.000  0.000  0.500 x4

- Polymorph energy (0 for the lowest one): 714 meV/atom
- ΔH_f (0 K): 0.972 eV/atom
- Fermi-level density of states: 23.849 states/eV/cell



Which of these has the lowest Fermi-level density of states?
NiSn2Bi



Which formula does entry 6 have?
Ca2TcOs



Among the records above, which one has the highest Fermi-level density of states?
La7Dy2Sc2